No. 1
Material: LiAc2Al3Hg4
Method: DFT, PBE
State: relaxed

Its space group is P-4m2. The density of states at the Fermi level comes out at 5.7 states/eV per cell. The value obtained for the total energy is -2.64 eV/atom. As for the formation energy: -380.3 meV/atom.

Unit cell a=4.703 b=4.703 c=10.966 alpha=90.00 beta=90.00 gamma=90.00
Atoms (fractional coordinates):
Li (0.000, 0.000, 0.000)
Ac (0.000, 0.500, 0.746)
Ac (0.500, 0.000, 0.254)
Al (0.000, 0.500, 0.365)
Al (0.500, 0.000, 0.635)
Al (0.500, 0.500, 0.000)
Hg (0.000, 0.000, 0.500)
Hg (0.000, 0.500, 0.123)
Hg (0.500, 0.000, 0.877)
Hg (0.500, 0.500, 0.500)



No. 2
Material: In2SbTe
Method: DFT, PBE
State: relaxed

The distance to the lowest polymorph of the same formula comes out at 250 meV per atom. Its space group is Cmm2. The density of states at the Fermi level comes out at 2.0 states/eV per cell. The value obtained for the total energy is -3.09 eV/atom.

Unit cell a=3.391 b=3.391 c=10.202 alpha=90.00 beta=90.00 gamma=98.99
Atoms (fractional coordinates):
In (0.000, 0.000, 0.000)
In (0.500, 0.500, 0.243)
Sb (0.500, 0.500, 0.780)
Te (0.000, 0.000, 0.469)



No. 3
Material: LiGdSc
Method: DFT, PBE
State: relaxed

The distance to the lowest polymorph of the same formula comes out at 0 meV per atom. Its space group is I4mm. The density of states at the Fermi level comes out at 3.9 states/eV per cell. The value obtained for the total energy is -7.33 eV/atom. As for the formation energy: 113.9 meV/atom.

Unit cell a=6.456 b=6.456 c=6.456 alpha=147.94 beta=147.94 gamma=45.98
Atoms (fractional coordinates):
Li (0.000, 0.000, 0.000)
Gd (0.672, 0.672, 0.000)
Sc (0.360, 0.360, 0.000)



No. 4
Material: YHoRu4
Method: DFT, PBE
State: relaxed

Its space group is F-43m. The density of states at the Fermi level comes out at 6.6 states/eV per cell. The value obtained for the total energy is -8.33 eV/atom. As for the formation energy: -304.6 meV/atom.

Unit cell a=5.333 b=5.333 c=5.333 alpha=60.00 beta=60.00 gamma=60.00
Atoms (fractional coordinates):
Y (0.000, 0.000, 0.000)
Ho (0.750, 0.750, 0.750)
Ru (0.375, 0.375, 0.375)
Ru (0.375, 0.375, 0.875)
Ru (0.375, 0.875, 0.375)
Ru (0.875, 0.375, 0.375)